(1)
The following is a PBE calculation of SnTePd2 after structural relaxation, from Alexandria.

Unit cell a=4.2023 b=4.2023 c=6.2137 alpha=70.24 beta=70.24 gamma=60.00
Last column: nearest neighbours and their distance in Å.
Atoms (fractional coordinates):
Sn  0.6709  0.6709  0.9872  6 Pd 2.73-2.79, 1 Te 3.04
Te  0.4939  0.4939  0.5182  6 Pd 2.82-2.94, 1 Sn 3.04
Pd  0.0774  0.0774  0.7677  3 Sn 2.73, 3 Te 2.82
Pd  0.2577  0.2577  0.2269  3 Sn 2.79, 3 Te 2.94, 1 Pd 3.09

Properties
For the total energy, the calculation gives -18.556 eV/f.u. The density of states at the Fermi level is 0.60 states/eV/atom. As for the distance to the lowest polymorph of the same formula: 198.7 meV per atom. As for the space group: R3m (160).

(2)
The following is a PBE calculation of CsIn2Hg4Pb after structural relaxation, from Alexandria.

Unit cell a=5.1676 b=5.1676 c=12.0358 alpha=77.60 beta=77.60 gamma=60.00
Last column: nearest neighbours and their distance in Å.
Atoms (fractional coordinates):
Cs  0.0000  0.0000  0.0000  6 Hg 3.79
In  0.7719  0.7719  0.6843  7 Hg 3.10-3.47
In  0.2281  0.2281  0.3157  7 Hg 3.10-3.47
Hg  0.4000  0.4000  0.7999  3 In 3.27, 1 Pb 3.50
Hg  0.8710  0.8710  0.3870  4 In 3.10-3.47, 3 Pb 3.26
Hg  0.1290  0.1290  0.6130  4 In 3.10-3.47, 3 Pb 3.26
Hg  0.6000  0.6000  0.2001  3 In 3.27, 1 Pb 3.50
Pb  0.5000  0.5000  0.5000  8 Hg 3.26-3.50

Properties
For the total energy, the calculation gives -12.106 eV/f.u. The density of states at the Fermi level is 0.23 states/eV/atom. The formation energy comes out at -0.11 eV per atom. As for the space group: R-3m (166).

(3)
The following is a PBE calculation of Na2Sn2N after structural relaxation, from Alexandria.

Unit cell a=6.2601 b=6.2601 c=5.8951 alpha=90.00 beta=90.00 gamma=90.00
Last column: nearest neighbours and their distance in Å.
Atoms (fractional coordinates):
Na  0.3291  0.8291  0.0000  2 N 2.32
Na  0.8291  0.6709  0.0000  2 N 2.32
Na  0.6709  0.1709  0.0000  2 N 2.32
Na  0.1709  0.3291  0.0000  2 N 2.32
Sn  0.1842  0.6842  0.5000  2 Na 3.21, 5 Sn 3.24-3.26
Sn  0.6842  0.8158  0.5000  2 Na 3.21, 5 Sn 3.24-3.26
Sn  0.8158  0.3158  0.5000  2 Na 3.21, 5 Sn 3.24-3.26
Sn  0.3158  0.1842  0.5000  2 Na 3.21, 5 Sn 3.24-3.26
N  0.0000  0.0000  0.0000  4 Na 2.32
N  0.5000  0.5000  0.0000  4 Na 2.32

Properties
For the total energy, the calculation gives -16.097 eV/f.u. The density of states at the Fermi level is 0.46 states/eV/atom. As for the distance to the lowest polymorph of the same formula: 0.0 meV per atom. As for the space group: P4/mbm (127).

(4)
The following is a PBE calculation of Na2TaNb2 after structural relaxation, from Alexandria.

Unit cell a=4.1110 b=4.1110 c=6.4795 alpha=71.50 beta=71.50 gamma=90.00
Last column: nearest neighbours and their distance in Å.
Atoms (fractional coordinates):
Na  0.4116  0.4116  0.1769  1 Na 2.05
Na  0.5884  0.5884  0.8231  1 Na 2.05
Nb  0.7500  0.2500  0.5000  4 Na 2.78, 4 Nb 2.91
Nb  0.2500  0.7500  0.5000  4 Na 2.78, 4 Nb 2.91
Ta  0.0000  0.0000  0.0000  8 Na 3.08

Properties
For the total energy, the calculation gives -26.682 eV/f.u. The density of states at the Fermi level is 1.40 states/eV/atom. As for the distance to the lowest polymorph of the same formula: 334.7 meV per atom. The formation energy comes out at 1.59 eV per atom. As for the space group: I4/mmm (139).

- What is the formula in the third record?
  Na2Sn2N